1.
# Rb3FeS3 | the Alexandria database | PBE | optimized geometry
data_Rb3FeS3
_symmetry_space_group_name_H-M 'P 1'
_symmetry_Int_Tables_number 1
_cell_length_a 10.324
_cell_length_b 10.324
_cell_length_c 13.141
_cell_angle_alpha 90.00
_cell_angle_beta 90.00
_cell_angle_gamma 39.76
loop_
_symmetry_equiv_pos_as_xyz
'x,y,z'
loop_
_atom_site_label
_atom_site_type_symbol
_atom_site_fract_x
_atom_site_fract_y
_atom_site_fract_z
_atom_site_occupancy
Rb1 Rb 0.016 0.339 0.870 1
Rb2 Rb 0.145 0.855 0.834 1
Rb3 Rb 0.161 0.484 0.630 1
Rb4 Rb 0.339 0.016 0.130 1
Rb5 Rb 0.355 0.645 0.334 1
Rb6 Rb 0.484 0.161 0.370 1
Rb7 Rb 0.516 0.839 0.630 1
Rb8 Rb 0.645 0.355 0.666 1
Rb9 Rb 0.661 0.984 0.870 1
Rb10 Rb 0.839 0.516 0.370 1
Rb11 Rb 0.855 0.145 0.166 1
Rb12 Rb 0.984 0.661 0.130 1
Fe1 Fe 0.082 0.082 0.500 1
Fe2 Fe 0.418 0.418 0.000 1
Fe3 Fe 0.582 0.582 0.000 1
Fe4 Fe 0.918 0.918 0.500 1
S1 S 0.009 0.693 0.388 1
S2 S 0.193 0.509 0.888 1
S3 S 0.197 0.803 0.580 1
S4 S 0.303 0.697 0.080 1
S5 S 0.307 0.991 0.388 1
S6 S 0.491 0.807 0.888 1
S7 S 0.509 0.193 0.112 1
S8 S 0.693 0.009 0.612 1
S9 S 0.697 0.303 0.920 1
S10 S 0.803 0.197 0.420 1
S11 S 0.807 0.491 0.112 1
S12 S 0.991 0.307 0.612 1
# Relative energy among the computed polymorphs, meV per atom: 0
# Uncorrected formation energy, eV per atom: -0.908

---

2.
# YMg2H | the Alexandria database | PBE | optimized geometry
data_YMg2H
_symmetry_space_group_name_H-M 'P 1'
_symmetry_Int_Tables_number 1
_cell_length_a 6.191
_cell_length_b 6.191
_cell_length_c 6.191
_cell_angle_alpha 60.00
_cell_angle_beta 60.00
_cell_angle_gamma 60.00
loop_
_symmetry_equiv_pos_as_xyz
'x,y,z'
loop_
_atom_site_label
_atom_site_type_symbol
_atom_site_fract_x
_atom_site_fract_y
_atom_site_fract_z
_atom_site_occupancy
Y1 Y 0.125 0.125 0.125 1
Y2 Y 0.875 0.875 0.875 1
Mg1 Mg 0.000 0.500 0.500 1
Mg2 Mg 0.500 0.000 0.500 1
Mg3 Mg 0.500 0.500 0.000 1
Mg4 Mg 0.500 0.500 0.500 1
H1 H 0.375 0.375 0.375 1
H2 H 0.625 0.625 0.625 1
# Relative energy among the computed polymorphs, meV per atom: 0

---

3.
# BaSiNi2 | the Alexandria database | PBE | optimized geometry
data_BaSiNi2
_symmetry_space_group_name_H-M 'P 1'
_symmetry_Int_Tables_number 1
_cell_length_a 5.397
_cell_length_b 5.397
_cell_length_c 5.397
_cell_angle_alpha 135.13
_cell_angle_beta 135.13
_cell_angle_gamma 65.33
loop_
_symmetry_equiv_pos_as_xyz
'x,y,z'
loop_
_atom_site_label
_atom_site_type_symbol
_atom_site_fract_x
_atom_site_fract_y
_atom_site_fract_z
_atom_site_occupancy
Ba1 Ba 0.000 0.000 0.000 1
Si1 Si 0.750 0.250 0.500 1
Ni1 Ni 0.250 0.750 0.500 1
Ni2 Ni 0.500 0.500 0.000 1
# Uncorrected formation energy, eV per atom: 0.582

---

| no. | final energy (eV per atom) |
| --- | --- |
| 1 | -4.300 |
| 2 | -3.205 |
| 3 | -4.145 |